The following is a DFT calculation (PBE-GGA) of a geometry-optimized NiAgIr2 structure.

Calculated values
polymorph energy (0 for the lowest one) = 1.03 eV per formula unit
ΔE_f = 1.7 eV/f.u.
SG = P4/mmm, No. 123
energy = -24.7 eV per formula unit

Geometry as POSCAR:
```
NiAgIr2
1.0
3.802 0.000 0.000
0.000 3.802 0.000
0.000 0.000 4.002
Ag Ir Ni
1 2 1
Cartesian
0.000 1.901 2.001
0.000 0.000 0.000
1.901 1.901 0.000
1.901 0.000 2.001
```